# AcTa2O8 PBE-GGA optimized geometry
data_AcTa2O8
_chemical_formula_sum 'Ac1 Ta2 O8'
_cell_length_a 4.896
_cell_length_b 4.896
_cell_length_c 6.195
_cell_angle_alpha 90.00
_cell_angle_beta 90.00
_cell_angle_gamma 90.00
_space_group_name_H-M_alt 'P 4/m m m'
_space_group_IT_number 123
_space_group_name_Hall '-P 4 2'
loop_
_atom_site_label
_atom_site_type_symbol
_atom_site_fract_x
_atom_site_fract_y
_atom_site_fract_z
_atom_site_occupancy
Ac1 Ac 0.000 0.000 0.000 1
Ta1 Ta 0.000 0.500 0.500 1
O1 O 0.250 0.250 0.305 1
# N(E_F) in states/eV/f.u.: 4.62
# Uncorrected formation energy in kJ/mol of atoms: -210
# Total DFT energy (no corrections) in eV per atom: -8.31
# Magnetic moment in μB/f.u.: 1.7